VASP calculation (PBE) on a geometry-optimized Pm2Pr5Tm12 structure.

Output
The calculation puts the energy relative to the elements at 26 meV per atom. As for the energy above the most stable polymorph in this dataset: 0.0000 eV/atom.

Unit cell a=6.1684 b=13.7787 c=11.2535 alpha=137.04 beta=100.73 gamma=94.28
Atoms (fractional coordinates):
Pm  0.5780  0.8438  0.8166
Pm  0.4220  0.1562  0.1834
Pr  0.2628  0.4732  0.5538
Pr  0.1584  0.6845  0.1303
Pr  0.0000  0.0000  0.5000
Pr  0.8416  0.3155  0.8697
Pr  0.7372  0.5268  0.4462
Tm  0.9471  0.1045  0.2900
Tm  0.1040  0.7924  0.9246
Tm  0.6322  0.7377  0.0263
Tm  0.2111  0.5799  0.3414
Tm  0.6829  0.6323  0.2374
Tm  0.5279  0.9473  0.6069
Tm  0.4721  0.0527  0.3931
Tm  0.7889  0.4201  0.6586
Tm  0.3171  0.3677  0.7626
Tm  0.8960  0.2076  0.0754
Tm  0.3678  0.2623  0.9737
Tm  0.0529  0.8955  0.7100

VASP calculation (PBE) on a geometry-optimized Ce2IrF structure.

Output
As for the energy above the most stable polymorph in this dataset: 0.1245 eV/atom. The calculation puts the uncorrected formation energy at -5.92 eV/f.u.

Unit cell a=4.0017 b=4.0017 c=7.6632 alpha=74.86 beta=74.86 gamma=60.00
Last column: magnetic moment on the atom in μB.
Atoms (fractional coordinates):
Ce  0.0857  0.0857  0.7430  0.80
Ce  0.2726  0.2726  0.1821  0.84
Ir  0.6734  0.6734  0.9798  -0.05
F  0.4683  0.4683  0.5951  0.00

VASP calculation (PBE) on a geometry-optimized SrSeIN2 structure.

Output
As for the energy above the most stable polymorph in this dataset: 0.4419 eV/atom. The calculation puts the uncorrected formation energy at 6.31 eV/f.u.

Unit cell a=4.8885 b=4.8885 c=6.3218 alpha=90.00 beta=90.00 gamma=90.00
Last column: magnetic moment on the atom in μB.
Atoms (fractional coordinates):
I  0.5000  0.5000  0.5000  0.10
Sr  0.0000  0.0000  0.0000  0.06
Se  0.0000  0.0000  0.5000  0.07
N  0.0000  0.5000  0.0000  1.48
N  0.5000  0.0000  0.0000  1.48